No. 1
VASP calculation (PBE-GGA) on a relaxed ScMnW2 crystal.

a b c (Å): 4.4865 2.7804 5.1647
angles (deg): 79.28 90.00 90.00
Sites, in units of the cell vectors:
Mn1 0.5000 0.2500 0.2500
Sc1 0.5000 0.7500 0.7500
W1 0.0000 0.0260 0.0050
W2 0.0000 0.4740 0.4950

Results
E above lowest polymorph, kcal/mol of atoms: 3.28
M_tot, μB/atom: 0.22
Final energy, hartree per atom: -0.3719
Formation energy from the elements, eV/atom: 0.23
ρ, g/cm³: 12.27



No. 2
VASP calculation (PBE-GGA) on a relaxed Dy3Ho2ErBi6 crystal.

a b c (Å): 4.4612 8.9247 9.9751
angles (deg): 102.85 102.92 90.00
Sites, in units of the cell vectors:
Dy1 0.5000 0.5000 0.0000
Dy2 0.8332 0.1669 0.6664
Dy3 0.1668 0.8331 0.3336
Ho1 0.8334 0.6670 0.6668
Ho2 0.1666 0.3330 0.3332
Er1 0.5000 0.0000 0.0000
Bi1 0.3339 0.9165 0.6677
Bi2 0.6669 0.5825 0.3338
Bi3 0.6661 0.0835 0.3323
Bi4 0.0002 0.2487 0.0003
Bi5 0.9998 0.7513 0.9997
Bi6 0.3331 0.4175 0.6662

Results
M_tot, μB/atom: 0.00
Final energy, hartree per atom: -0.1866
Formation energy from the elements, eV/atom: -0.84
ρ, g/cm³: 9.86